No. 1
# Be2RhN PBE optimized geometry
data_Be2RhN
_chemical_formula_sum 'Be8 Rh4 N4'
_space_group_name_H-M_alt 'I -4 2 d'
_space_group_IT_number 122
_space_group_name_Hall 'I -4 2bw'
_cell_length_a 5.6109
_cell_length_b 5.6109
_cell_length_c 4.6573
_cell_angle_alpha 90.00
_cell_angle_beta 90.00
_cell_angle_gamma 90.00
loop_
_atom_site_label
_atom_site_type_symbol
_atom_site_fract_x
_atom_site_fract_y
_atom_site_fract_z
Be1 Be 0.1331 0.2500 0.1250
Rh1 Rh 0.0000 0.0000 0.5000
N1 N 0.0000 0.0000 0.0000
# - Crystal system: tetragonal
# - Raw formation energy: -0.27 eV per atom
# - Density of states at the Fermi level: 0.6 states/eV per cell
# - Total magnetic moment: 0.0 μB/f.u.

---

No. 2
# La3Tb4Pr PBE optimized geometry
data_La3Tb4Pr
_chemical_formula_sum 'La6 Tb8 Pr2'
_space_group_name_H-M_alt 'P m n 21'
_space_group_IT_number 31
_cell_length_a 11.7367
_cell_length_b 7.3905
_cell_length_c 6.4197
_cell_angle_alpha 90.00
_cell_angle_beta 90.00
_cell_angle_gamma 90.00
loop_
_space_group_symop_operation_xyz
'x,y,z'
'-x+1/2,-y,z+1/2'
'-x,y,z'
'x+1/2,-y,z+1/2'
loop_
_atom_site_label
_atom_site_type_symbol
_atom_site_fract_x
_atom_site_fract_y
_atom_site_fract_z
La1 La 0.0000 0.1253 0.0000
La2 La 0.2464 0.6229 0.6657
Tb1 Tb 0.0000 0.6307 0.0010
Tb2 Tb 0.0000 0.8748 0.4970
Tb3 Tb 0.2489 0.8775 0.1648
Pr1 Pr 0.0000 0.3723 0.4932
# - Crystal system: orthorhombic
# - Density of states at the Fermi level: 28.9 states/eV per cell
# - Relative energy among the computed polymorphs: 0 meV per atom
# - Energy of formation from the pure elements: 0.04 eV/atom
# - Total magnetic moment: 0.0 μB/f.u.

---

No. 3
# La5Sm6Dy PBE optimized geometry
data_La5Sm6Dy
_chemical_formula_sum 'La10 Sm12 Dy2'
_space_group_name_H-M_alt 'C 1 2/m 1'
_space_group_IT_number 12
_cell_length_a 6.3643
_cell_length_b 11.0267
_cell_length_c 12.1199
_cell_angle_alpha 90.00
_cell_angle_beta 100.11
_cell_angle_gamma 90.00
loop_
_space_group_symop_operation_xyz
'x,y,z'
'-x,-y,-z'
'-x,y,-z'
'x,-y,z'
'x+1/2,y+1/2,z'
'-x+1/2,-y+1/2,-z'
'-x+1/2,y+1/2,-z'
'x+1/2,-y+1/2,z'
loop_
_atom_site_label
_atom_site_type_symbol
_atom_site_fract_x
_atom_site_fract_y
_atom_site_fract_z
La1 La 0.0000 0.0000 0.0000
La2 La 0.0000 0.1667 0.5000
La3 La 0.0000 0.3337 0.0000
Sm1 Sm 0.2482 0.3341 0.7486
Sm2 Sm 0.2503 0.0000 0.7485
Dy1 Dy 0.0000 0.5000 0.5000
# - Crystal system: monoclinic
# - Density of states at the Fermi level: 36.6 states/eV per cell
# - Energy of formation from the pure elements: 0.01 eV/atom
# - Total magnetic moment: 0.0 μB/f.u.